Here is MgRe2MoF after structural relaxation from Alexandria via LeMat-Bulk. Energies are from GGA+U.

Lattice parameters (Å, degrees): 4.340 4.340 4.306 90.00 90.00 90.00
Fractional positions:
Mg (0.000, 0.000, 0.000)
Re (0.000, 0.500, 0.500)
Re (0.500, 0.000, 0.500)
Mo (0.500, 0.500, 0.000)
F (0.500, 0.500, 0.500)

Summary:
As for the crystal system: tetragonal. Its total energy is -5.88 eV per atom. The space-group type is No. 123. The value obtained for the density of states at the Fermi level is 4.5 states/eV/f.u.